No. 1
Compound: ZrReTc2
Source: the Alexandria database
Functional: PBE-GGA
Structure: relaxed

Lattice parameters (Å, degrees): 5.2966 5.2316 2.7929 79.30 80.77 117.61
Last column: nearest neighbours and their distance in Å.
Fractional positions:
Tc 0.5000 0.0000 0.5000  2 Re 2.73, 2 Zr 2.73, 4 Tc 2.79
Tc 0.0000 0.0000 0.0000  2 Zr 2.73, 2 Re 2.73, 4 Tc 2.79
Re 0.5000 0.5000 0.0000  4 Tc 2.73, 2 Zr 2.79, 2 Re 2.79
Zr 0.0000 0.5000 0.5000  4 Tc 2.73, 2 Re 2.79, 2 Zr 2.79

## Properties
- Formation enthalpy at 0 K: 0.006 eV per atom
- Space group: C2/m, No. 12
- Magnetic moment: 0.0 Bohr magnetons per cell
- Crystal system: monoclinic

=====

No. 2
Compound: Zr6ReTc5
Source: the Alexandria database
Functional: PBE-GGA
Structure: relaxed

Lattice parameters (Å, degrees): 4.6626 6.5941 7.3730 90.00 108.52 90.00
Last column: nearest neighbours and their distance in Å.
Fractional positions:
Tc 0.3339 0.0000 0.6677  8 Zr 2.85-2.86
Re 0.0000 0.0000 0.0000  8 Zr 2.86
Zr 0.1668 0.2500 0.3338  7 Tc 2.85-2.86, 1 Re 2.86
Tc 0.3332 0.5000 0.6663  8 Zr 2.85-2.86
Tc 0.6668 0.5000 0.3337  8 Zr 2.85-2.86
Zr 0.8332 0.2500 0.6662  7 Tc 2.85-2.86, 1 Re 2.86
Tc 0.0000 0.5000 0.0000  8 Zr 2.85-2.86
Tc 0.6661 0.0000 0.3323  8 Zr 2.85-2.86
Zr 0.5000 0.7495 0.0000  6 Tc 2.85, 2 Re 2.86
Zr 0.1668 0.7500 0.3338  7 Tc 2.85-2.86, 1 Re 2.86
Zr 0.8332 0.7500 0.6662  7 Tc 2.85-2.86, 1 Re 2.86
Zr 0.5000 0.2505 0.0000  6 Tc 2.85, 2 Re 2.86

## Properties
- Formation enthalpy at 0 K: -0.330 eV per atom
- Space group: P2/m, No. 10
- Magnetic moment: 0.0 Bohr magnetons per cell
- Crystal system: monoclinic

=====

No. 3
Compound: Zr4ReTc
Source: the Alexandria database
Functional: PBE-GGA
Structure: relaxed

Lattice parameters (Å, degrees): 3.3337 3.3337 10.6024 90.00 90.00 90.00
Last column: nearest neighbours and their distance in Å.
Fractional positions:
Re 0.5000 0.5000 0.5000  8 Zr 2.84
Zr 0.9999 0.9999 0.6498  4 Re 2.84, 5 Zr 3.18
Zr 0.4999 0.4999 0.8512  4 Tc 2.84, 1 Zr 3.15
Zr 0.0001 0.0001 0.3502  4 Re 2.84, 5 Zr 3.18
Tc 0.0000 0.0000 0.0000  8 Zr 2.84
Zr 0.5001 0.5001 0.1488  4 Tc 2.84, 1 Zr 3.15

## Properties
- Formation enthalpy at 0 K: -0.203 eV per atom
- Space group: P4/mmm, No. 123
- Offset from the most stable computed form: 0.0 meV/atom
- Magnetic moment: 0.0 Bohr magnetons per cell
- Crystal system: tetragonal

=====

No. 4
Compound: ZrReTc2
Source: the Alexandria database
Functional: PBE-GGA
Structure: relaxed

Lattice parameters (Å, degrees): 2.8219 2.8219 8.2580 90.00 90.00 90.00
Last column: nearest neighbours and their distance in Å.
Fractional positions:
Tc 0.0000 0.0000 0.0010  8 Tc 2.69-2.82, 4 Re 2.71
Re 0.5000 0.5000 0.7789  4 Tc 2.71, 4 Re 2.82
Tc 0.5000 0.5000 0.2200  8 Tc 2.69-2.82
Zr 0.0000 0.0000 0.5002  4 Zr 2.82, 4 Re 3.05, 4 Tc 3.06

## Properties
- Formation enthalpy at 0 K: 0.086 eV per atom
- Space group: P4mm, No. 99
- Magnetic moment: 0.0 Bohr magnetons per cell
- Crystal system: tetragonal

=====

No. 5
Compound: ReTe
Source: the Alexandria database
Functional: PBE-GGA
Structure: relaxed

Lattice parameters (Å, degrees): 8.3338 11.6196 8.1321 90.00 90.00 90.00
Last column: nearest neighbours and their distance in Å.
Fractional positions:
Re 0.2500 0.1475 0.2500  1 Re 2.38
Te 0.7957 0.0000 0.0000  4 Re 2.69-2.74
Te 0.2043 0.0000 0.0000  4 Re 2.69-2.74
Te 0.7043 0.5000 0.0000  4 Re 2.69-2.74
Te 0.5457 0.7500 0.7500  4 Re 2.69-2.74
Te 0.0457 0.2500 0.7500  4 Re 2.69-2.74
Te 0.4543 0.7500 0.2500  4 Re 2.69-2.74
Te 0.4543 0.2500 0.7500  4 Re 2.69-2.74
Te 0.0457 0.7500 0.2500  4 Re 2.69-2.74
Te 0.2957 0.5000 0.0000  4 Re 2.69-2.74
Re 0.5000 0.6025 0.5000  1 Re 2.38
Re 0.5000 0.8975 0.0000  1 Re 2.38
Te 0.7957 0.5000 0.5000  4 Re 2.69-2.74
Te 0.7043 0.0000 0.5000  4 Re 2.69-2.74
Re 0.7500 0.8525 0.2500  1 Re 2.38
Te 0.5457 0.2500 0.2500  4 Re 2.69-2.74
Re 0.2500 0.3525 0.2500  1 Re 2.38
Re 0.5000 0.1025 0.0000  1 Re 2.38
Te 0.2957 0.0000 0.5000  4 Re 2.69-2.74
Te 0.9543 0.7500 0.7500  4 Re 2.69-2.74
Re 0.7500 0.6475 0.2500  1 Re 2.38
Te 0.2043 0.5000 0.5000  4 Re 2.69-2.74
Re 0.0000 0.3975 0.0000  1 Re 2.38
Te 0.9543 0.2500 0.2500  4 Re 2.69-2.74
Re 0.2500 0.6475 0.7500  1 Re 2.38
Re 0.0000 0.1025 0.5000  1 Re 2.38
Re 0.7500 0.3525 0.7500  1 Re 2.38
Re 0.0000 0.6025 0.0000  1 Re 2.38
Re 0.2500 0.8525 0.7500  1 Re 2.38
Re 0.0000 0.8975 0.5000  1 Re 2.38
Re 0.5000 0.3975 0.5000  1 Re 2.38
Re 0.7500 0.1475 0.7500  1 Re 2.38

## Properties
- Space group: Fddd, No. 70
- Energy relative to the elements, uncorrected: 0.66 eV per atom
- Offset from the most stable computed form: 336.1 meV/atom
- Magnetic moment: 0.0 Bohr magnetons per cell
- Crystal system: orthorhombic

=====

No. 6
Compound: ReTe
Source: the Alexandria database
Functional: PBE-GGA
Structure: relaxed

Lattice parameters (Å, degrees): 4.2140 4.2140 4.2140 60.00 60.00 60.00
Last column: nearest neighbours and their distance in Å.
Fractional positions:
Re 0.0000 0.0000 0.0000  4 Te 2.58
Te 0.7500 0.7500 0.7500  4 Re 2.58

## Properties
- Space group: F-43m, No. 216
- Energy relative to the elements, uncorrected: 1.16 eV per atom
- Offset from the most stable computed form: 826.2 meV/atom
- Magnetic moment: 0.0 Bohr magnetons per cell
- Crystal system: cubic

=====

No. 7
Compound: Re5Te4
Source: the Alexandria database
Functional: PBE-GGA
Structure: relaxed

Lattice parameters (Å, degrees): 7.9076 7.9076 7.9076 92.20 92.20 157.41
Last column: nearest neighbours and their distance in Å.
Fractional positions:
Re 0.0000 0.0000 0.0000  8 Re 2.68
Te 0.2945 0.0000 0.2945  4 Re 2.76
Re 0.3590 0.3590 0.7180  2 Re 2.68, 4 Te 2.76
Re 0.3590 0.6410 0.0000  2 Re 2.68, 4 Te 2.76
Re 0.6410 0.3590 0.0000  2 Re 2.68, 4 Te 2.76
Te 0.0000 0.7055 0.7055  4 Re 2.76
Te 0.0000 0.2945 0.2945  4 Re 2.76
Re 0.6410 0.6410 0.2820  2 Re 2.68, 4 Te 2.76
Te 0.7055 0.0000 0.7055  4 Re 2.76

## Properties
- Space group: I4/mmm, No. 139
- Energy relative to the elements, uncorrected: 0.61 eV per atom
- Magnetic moment: 0.2 Bohr magnetons per cell
- Crystal system: tetragonal

=====

No. 8
Compound: ReTe
Source: the Alexandria database
Functional: PBE-GGA
Structure: relaxed

Lattice parameters (Å, degrees): 8.0413 8.0413 8.0413 90.00 90.00 90.00
Last column: nearest neighbours and their distance in Å.
Fractional positions:
Te 0.1940 0.8060 0.8060  4 Re 2.60-2.66
Re 0.6191 0.3809 0.6191  4 Te 2.60-2.66, 3 Re 2.71
Re 0.3809 0.3809 0.3809  4 Te 2.60-2.66, 3 Re 2.71
Te 0.8060 0.1940 0.8060  4 Re 2.60-2.66
Re 0.8809 0.8809 0.8809  4 Te 2.60-2.66, 3 Re 2.71
Re 0.1191 0.8809 0.1191  4 Te 2.60-2.66, 3 Re 2.71
Re 0.8809 0.1191 0.1191  4 Te 2.60-2.66, 3 Re 2.71
Te 0.3060 0.3060 0.6940  4 Re 2.60-2.66
Te 0.1940 0.1940 0.1940  4 Re 2.60-2.66
Te 0.6940 0.6940 0.6940  4 Re 2.60-2.66
Re 0.1191 0.1191 0.8809  4 Te 2.60-2.66, 3 Re 2.71
Re 0.6191 0.6191 0.3809  4 Te 2.60-2.66, 3 Re 2.71
Te 0.6940 0.3060 0.3060  4 Re 2.60-2.66
Re 0.3809 0.6191 0.6191  4 Te 2.60-2.66, 3 Re 2.71
Te 0.3060 0.6940 0.3060  4 Re 2.60-2.66
Te 0.8060 0.8060 0.1940  4 Re 2.60-2.66

## Properties
- Space group: I-43m, No. 217
- Energy relative to the elements, uncorrected: 0.76 eV per atom
- Offset from the most stable computed form: 428.0 meV/atom
- Magnetic moment: 0.0 Bohr magnetons per cell
- Crystal system: cubic

=====

Q: Among the records above, which one has the highest magnetic moment?
A: Re5Te4

=====

Repeat the second record exactly.
Compound: Zr6ReTc5
Source: the Alexandria database
Functional: PBE-GGA
Structure: relaxed

Lattice parameters (Å, degrees): 4.6626 6.5941 7.3730 90.00 108.52 90.00
Last column: nearest neighbours and their distance in Å.
Fractional positions:
Tc 0.3339 0.0000 0.6677  8 Zr 2.85-2.86
Re 0.0000 0.0000 0.0000  8 Zr 2.86
Zr 0.1668 0.2500 0.3338  7 Tc 2.85-2.86, 1 Re 2.86
Tc 0.3332 0.5000 0.6663  8 Zr 2.85-2.86
Tc 0.6668 0.5000 0.3337  8 Zr 2.85-2.86
Zr 0.8332 0.2500 0.6662  7 Tc 2.85-2.86, 1 Re 2.86
Tc 0.0000 0.5000 0.0000  8 Zr 2.85-2.86
Tc 0.6661 0.0000 0.3323  8 Zr 2.85-2.86
Zr 0.5000 0.7495 0.0000  6 Tc 2.85, 2 Re 2.86
Zr 0.1668 0.7500 0.3338  7 Tc 2.85-2.86, 1 Re 2.86
Zr 0.8332 0.7500 0.6662  7 Tc 2.85-2.86, 1 Re 2.86
Zr 0.5000 0.2505 0.0000  6 Tc 2.85, 2 Re 2.86

## Properties
- Formation enthalpy at 0 K: -0.330 eV per atom
- Space group: P2/m, No. 10
- Magnetic moment: 0.0 Bohr magnetons per cell
- Crystal system: monoclinic